This record from the Alexandria database describes a geometry-optimized PmHo3Sb4 structure. The functional is PBE-GGA.

The space group is Pm-3m (No. 221) and the conventional cell measures 6.2192, 6.2192 and 6.2192 Å, with angles of 90.00, 90.00 and 90.00 degrees. The distinct sites, in fractional coordinates, are Pm at (0.0000, 0.0000, 0.0000), Ho at (0.0000, 0.5000, 0.5000), Sb at (0.0000, 0.0000, 0.5000) and Sb at (0.5000, 0.5000, 0.5000).

For the uncorrected energy, the calculation gives -5.50 eV per atom.

***

This record from the Alexandria database describes a geometry-optimized LiCuPbF6 structure. The functional is PBE-GGA.

The space group is P4_2nm (No. 102) and the conventional cell measures 4.9533, 4.9533 and 9.9614 Å, with angles of 90.00, 90.00 and 90.00 degrees. The distinct sites, in fractional coordinates, are Li at (0.0000, 0.0000, 0.0000), Cu at (0.0000, 0.0000, 0.3295), Pb at (0.0000, 0.0000, 0.6612), F at (0.1805, 0.1805, 0.1658), F at (0.2033, 0.2033, 0.4825) and F at (0.2182, 0.2182, 0.8319).

For the uncorrected energy, the calculation gives -4.38 eV per atom.

***

This record from the Alexandria database describes a geometry-optimized SrTcO3 structure. The functional is PBE-GGA.

The space group is Fd-3m (No. 227, origin choice 2) and the conventional cell measures 10.4913, 10.4913 and 10.4913 Å, with angles of 90.00, 90.00 and 90.00 degrees. The distinct sites, in fractional coordinates, are Sr at (0.0000, 0.0000, 0.0000), Tc at (0.0000, 0.0000, 0.5000) and O at (0.0765, 0.3750, 0.8750).

For the uncorrected energy, the calculation gives -7.19 eV per atom.